Density functional theory data (PBE) for a relaxed Mg2Zn2In crystal.

- Final energy: -1.665 eV per atom
- Energy of formation: 0.0305 eV per atom
- DOS at the Fermi energy: 0.373 states/eV per atom

Geometry as CIF:
```
data_Mg2Zn2In
_chemical_formula_sum 'Mg4 Zn4 In2'
_cell_length_a 3.677
_cell_length_b 3.677
_cell_length_c 15.883
_cell_angle_alpha 90.00
_cell_angle_beta 90.00
_cell_angle_gamma 90.00
_symmetry_space_group_name_H-M 'I 4/m m m'
_symmetry_Int_Tables_number 139
_symmetry_space_group_name_Hall '-I 4 2'
loop_
_atom_site_label
_atom_site_type_symbol
_atom_site_fract_x
_atom_site_fract_y
_atom_site_fract_z
Mg1 Mg 0.000 0.000 0.107
Zn1 Zn 0.000 0.500 0.250
In1 In 0.000 0.000 0.500
```

Density functional theory data (PBE) for a relaxed Sm5DyTm2Sc crystal.

- Final energy: -4.669 eV per atom
- Energy of formation: 0.1611 eV per atom
- DOS at the Fermi energy: 1.631 states/eV per atom

Geometry as CIF:
```
data_Sm5DyTm2Sc
_chemical_formula_sum 'Sm20 Dy4 Tm8 Sc4'
_cell_length_a 5.521
_cell_length_b 20.354
_cell_length_c 10.387
_cell_angle_alpha 90.00
_cell_angle_beta 90.00
_cell_angle_gamma 90.00
_symmetry_space_group_name_H-M 'C m c 21'
_symmetry_Int_Tables_number 36
loop_
_symmetry_equiv_pos_as_xyz
'x,y,z'
'-x,-y,z+1/2'
'-x,y,z'
'x,-y,z+1/2'
'x+1/2,y+1/2,z'
'-x+1/2,-y+1/2,z+1/2'
'-x+1/2,y+1/2,z'
'x+1/2,-y+1/2,z+1/2'
loop_
_atom_site_label
_atom_site_type_symbol
_atom_site_fract_x
_atom_site_fract_y
_atom_site_fract_z
Sm1 Sm 0.000 0.013 0.000
Sm2 Sm 0.000 0.126 0.275
Sm3 Sm 0.000 0.201 0.965
Sm4 Sm 0.000 0.226 0.577
Sm5 Sm 0.000 0.486 0.267
Dy1 Dy 0.000 0.096 0.720
Tm1 Tm 0.000 0.384 0.996
Tm2 Tm 0.000 0.388 0.557
Sc1 Sc 0.000 0.305 0.271
```

Density functional theory data (PBE) for a relaxed Ba2CaTl2 crystal.

- Final energy: -2.339 eV per atom
- Energy of formation: -0.2228 eV per atom
- DOS at the Fermi energy: 1.263 states/eV per atom
- Offset from the most stable computed form: 0.098 eV/atom

Geometry as CIF:
```
data_Ba2CaTl2
_chemical_formula_sum 'Ba8 Ca4 Tl8'
_cell_length_a 9.536
_cell_length_b 13.571
_cell_length_c 6.868
_cell_angle_alpha 90.00
_cell_angle_beta 90.00
_cell_angle_gamma 90.00
_symmetry_space_group_name_H-M 'I b a m'
_symmetry_Int_Tables_number 72
_symmetry_space_group_name_Hall '-I 2 2c'
loop_
_atom_site_label
_atom_site_type_symbol
_atom_site_fract_x
_atom_site_fract_y
_atom_site_fract_z
Ba1 Ba 0.142 0.169 0.000
Ca1 Ca 0.000 0.500 0.250
Tl1 Tl 0.226 0.083 0.500
```

Density functional theory data (PBE) for a relaxed LiPb2C crystal.

- Final energy: -3.861 eV per atom
- Energy of formation: 0.7774 eV per atom
- DOS at the Fermi energy: 0.334 states/eV per atom

Geometry as CIF:
```
data_LiPb2C
_chemical_formula_sum 'Li4 Pb8 C4'
_cell_length_a 7.452
_cell_length_b 7.452
_cell_length_c 6.199
_cell_angle_alpha 90.00
_cell_angle_beta 90.00
_cell_angle_gamma 90.00
_symmetry_space_group_name_H-M 'I -4 2 d'
_symmetry_Int_Tables_number 122
_symmetry_space_group_name_Hall 'I -4 2bw'
loop_
_atom_site_label
_atom_site_type_symbol
_atom_site_fract_x
_atom_site_fract_y
_atom_site_fract_z
Li1 Li 0.000 0.000 0.000
Pb1 Pb 0.178 0.250 0.625
C1 C 0.000 0.000 0.500
```

Density functional theory data (PBE) for a relaxed RbHg3Se3 crystal.

- Final energy: -2.091 eV per atom
- E_form (uncorrected): -2.31 eV/f.u.
- DOS at the Fermi energy: 0.251 states/eV per atom
- Offset from the most stable computed form: 0.031 eV/atom

Geometry as CIF:
```
data_RbHg3Se3
_chemical_formula_sum 'Rb2 Hg6 Se6'
_cell_length_a 7.887
_cell_length_b 7.887
_cell_length_c 7.887
_cell_angle_alpha 90.00
_cell_angle_beta 90.00
_cell_angle_gamma 90.00
_symmetry_space_group_name_H-M 'P m -3 n'
_symmetry_Int_Tables_number 223
_symmetry_space_group_name_Hall '-P 4n 2 3'
loop_
_atom_site_label
_atom_site_type_symbol
_atom_site_fract_x
_atom_site_fract_y
_atom_site_fract_z
Rb1 Rb 0.000 0.000 0.000
Hg1 Hg 0.000 0.250 0.500
Se1 Se 0.000 0.500 0.250
```

Density functional theory data (PBE) for a relaxed CaSbPt3 crystal.

- Final energy: -5.511 eV per atom
- E_form (uncorrected): -3.31 eV/f.u.
- DOS at the Fermi energy: 0.464 states/eV per atom
- Offset from the most stable computed form: 0.000 eV/atom

Geometry as CIF:
```
data_CaSbPt3
_chemical_formula_sum 'Ca2 Sb2 Pt6'
_cell_length_a 5.404
_cell_length_b 5.704
_cell_length_c 6.429
_cell_angle_alpha 90.00
_cell_angle_beta 94.53
_cell_angle_gamma 90.00
_symmetry_space_group_name_H-M 'P 1 21/m 1'
_symmetry_Int_Tables_number 11
loop_
_symmetry_equiv_pos_as_xyz
'x,y,z'
'-x,-y,-z'
'-x,y+1/2,-z'
'x,-y+1/2,z'
loop_
_atom_site_label
_atom_site_type_symbol
_atom_site_fract_x
_atom_site_fract_y
_atom_site_fract_z
Ca1 Ca 0.170 0.250 0.144
Sb1 Sb 0.104 0.750 0.368
Pt1 Pt 0.327 0.004 0.669
Pt2 Pt 0.353 0.750 0.038
```

Density functional theory data (PBE) for a relaxed TmLuH crystal.

- Final energy: -4.364 eV per atom
- DOS at the Fermi energy: 0.798 states/eV per atom
- Offset from the most stable computed form: 0.000 eV/atom

Geometry as CIF:
```
data_TmLuH
_chemical_formula_sum 'Tm1 Lu1 H1'
_cell_length_a 3.5424
_cell_length_b 3.5424
_cell_length_c 5.4224
_cell_angle_alpha 90.00
_cell_angle_beta 90.00
_cell_angle_gamma 120.00
_symmetry_space_group_name_H-M 'P 3 m 1'
_symmetry_Int_Tables_number 156
loop_
_symmetry_equiv_pos_as_xyz
'x,y,z'
'-y,x-y,z'
'-x+y,-x,z'
'-y,-x,z'
'-x+y,y,z'
'x,x-y,z'
loop_
_atom_site_label
_atom_site_type_symbol
_atom_site_fract_x
_atom_site_fract_y
_atom_site_fract_z
Tm1 Tm 0.0000 0.0000 0.0000
Lu1 Lu 0.3333 0.6667 0.4937
H1 H 0.6667 0.3333 0.2475
```

Density functional theory data (PBE) for a relaxed LaScTa2 crystal.

- Final energy: -8.257 eV per atom
- Energy of formation: 0.4840 eV per atom
- DOS at the Fermi energy: 1.515 states/eV per atom
- Offset from the most stable computed form: 0.277 eV/atom

Geometry as CIF:
```
data_LaScTa2
_chemical_formula_sum 'La3 Sc3 Ta6'
_cell_length_a 3.0913
_cell_length_b 3.0913
_cell_length_c 32.3323
_cell_angle_alpha 90.00
_cell_angle_beta 90.00
_cell_angle_gamma 120.00
_symmetry_space_group_name_H-M 'R -3 m'
_symmetry_Int_Tables_number 166
_symmetry_space_group_name_Hall '-R 3 2"'
loop_
_atom_site_label
_atom_site_type_symbol
_atom_site_fract_x
_atom_site_fract_y
_atom_site_fract_z
La1 La 0.0000 0.0000 0.0000
Sc1 Sc 0.0000 0.0000 0.5000
Ta1 Ta 0.0000 0.0000 0.2438
```

Density functional theory data (PBE) for a relaxed Tl2SnRh2O6 crystal.

- Final energy: -5.761 eV per atom
- E_form (uncorrected): -10.18 eV/f.u.

Geometry as CIF:
```
data_Tl2SnRh2O6
_chemical_formula_sum 'Tl4 Sn2 Rh4 O12'
_cell_length_a 5.525
_cell_length_b 9.628
_cell_length_c 6.782
_cell_angle_alpha 90.00
_cell_angle_beta 108.12
_cell_angle_gamma 90.00
_symmetry_space_group_name_H-M 'C 1 2/m 1'
_symmetry_Int_Tables_number 12
loop_
_symmetry_equiv_pos_as_xyz
'x,y,z'
'-x,-y,-z'
'-x,y,-z'
'x,-y,z'
'x+1/2,y+1/2,z'
'-x+1/2,-y+1/2,-z'
'-x+1/2,y+1/2,-z'
'x+1/2,-y+1/2,z'
loop_
_atom_site_label
_atom_site_type_symbol
_atom_site_fract_x
_atom_site_fract_y
_atom_site_fract_z
Tl1 Tl 0.000 0.170 0.000
Sn1 Sn 0.000 0.000 0.500
Rh1 Rh 0.000 0.334 0.500
O1 O 0.220 0.500 0.657
O2 O 0.229 0.170 0.659
```

Density functional theory data (PBE) for a relaxed Tm5Bi2CSe crystal.

- Final energy: -5.511 eV per atom
- E_form (uncorrected): -6.77 eV/f.u.
- DOS at the Fermi energy: 0.636 states/eV per atom

Geometry as CIF:
```
data_Tm5Bi2CSe
_chemical_formula_sum 'Tm5 Bi2 C1 Se1'
_cell_length_a 4.622
_cell_length_b 4.622
_cell_length_c 10.801
_cell_angle_alpha 90.00
_cell_angle_beta 90.00
_cell_angle_gamma 90.00
_symmetry_space_group_name_H-M 'P 4/m m m'
_symmetry_Int_Tables_number 123
_symmetry_space_group_name_Hall '-P 4 2'
loop_
_atom_site_label
_atom_site_type_symbol
_atom_site_fract_x
_atom_site_fract_y
_atom_site_fract_z
Tm1 Tm 0.000 0.000 0.000
Tm2 Tm 0.000 0.500 0.500
Tm3 Tm 0.500 0.500 0.262
Bi1 Bi 0.000 0.000 0.285
C1 C 0.500 0.500 0.500
Se1 Se 0.500 0.500 0.000
```

Density functional theory data (PBE) for a relaxed AcSc2PaO8 crystal.

- Final energy: -8.450 eV per atom
- E_form (uncorrected): -35.47 eV/f.u.
- DOS at the Fermi energy: 0.377 states/eV per atom

Geometry as CIF:
```
data_AcSc2PaO8
_chemical_formula_sum 'Ac2 Sc4 Pa2 O16'
_cell_length_a 7.186
_cell_length_b 7.186
_cell_length_c 7.309
_cell_angle_alpha 90.00
_cell_angle_beta 90.00
_cell_angle_gamma 90.00
_symmetry_space_group_name_H-M 'I -4 m 2'
_symmetry_Int_Tables_number 119
_symmetry_space_group_name_Hall 'I -4 -2'
loop_
_atom_site_label
_atom_site_type_symbol
_atom_site_fract_x
_atom_site_fract_y
_atom_site_fract_z
Ac1 Ac 0.000 0.000 0.000
Sc1 Sc 0.000 0.000 0.500
Sc2 Sc 0.000 0.500 0.750
Pa1 Pa 0.000 0.500 0.250
O1 O 0.000 0.199 0.308
O2 O 0.000 0.330 0.962
```

Density functional theory data (PBE) for a relaxed Ni2HgGeMo crystal.

- Final energy: -3.733 eV per atom
- Energy of formation: 1.7300 eV per atom
- DOS at the Fermi energy: 2.108 states/eV per atom

Geometry as CIF:
```
data_Ni2HgGeMo
_chemical_formula_sum 'Ni2 Hg1 Ge1 Mo1'
_cell_length_a 4.617
_cell_length_b 4.617
_cell_length_c 5.082
_cell_angle_alpha 90.00
_cell_angle_beta 90.00
_cell_angle_gamma 90.00
_symmetry_space_group_name_H-M 'P 4/m m m'
_symmetry_Int_Tables_number 123
_symmetry_space_group_name_Hall '-P 4 2'
loop_
_atom_site_label
_atom_site_type_symbol
_atom_site_fract_x
_atom_site_fract_y
_atom_site_fract_z
Ni1 Ni 0.000 0.500 0.000
Hg1 Hg 0.000 0.000 0.000
Ge1 Ge 0.500 0.500 0.500
Mo1 Mo 0.000 0.000 0.500
```

Density functional theory data (PBE) for a relaxed CuTcTe2 crystal.

- Final energy: -4.871 eV per atom
- E_form (uncorrected): 1.26 eV/f.u.
- DOS at the Fermi energy: 0.966 states/eV per atom
- Offset from the most stable computed form: 0.179 eV/atom

Geometry as CIF:
```
data_CuTcTe2
_chemical_formula_sum 'Cu1 Tc1 Te2'
_cell_length_a 3.302
_cell_length_b 3.312
_cell_length_c 7.219
_cell_angle_alpha 90.00
_cell_angle_beta 97.16
_cell_angle_gamma 90.00
_symmetry_space_group_name_H-M 'P 1 2/m 1'
_symmetry_Int_Tables_number 10
loop_
_symmetry_equiv_pos_as_xyz
'x,y,z'
'-x,-y,-z'
'-x,y,-z'
'x,-y,z'
loop_
_atom_site_label
_atom_site_type_symbol
_atom_site_fract_x
_atom_site_fract_y
_atom_site_fract_z
Cu1 Cu 0.000 0.000 0.000
Tc1 Tc 0.000 0.000 0.500
Te1 Te 0.422 0.500 0.267
```

Density functional theory data (PBE) for a relaxed Tm3TlSb crystal.

- Final energy: -4.248 eV per atom
- E_form (uncorrected): -1.34 eV/f.u.
- DOS at the Fermi energy: 0.886 states/eV per atom

Geometry as CIF:
```
data_Tm3TlSb
_chemical_formula_sum 'Tm12 Tl4 Sb4'
_cell_length_a 17.860
_cell_length_b 3.856
_cell_length_c 8.940
_cell_angle_alpha 90.00
_cell_angle_beta 101.48
_cell_angle_gamma 90.00
_symmetry_space_group_name_H-M 'C 1 2/m 1'
_symmetry_Int_Tables_number 12
loop_
_symmetry_equiv_pos_as_xyz
'x,y,z'
'-x,-y,-z'
'-x,y,-z'
'x,-y,z'
'x+1/2,y+1/2,z'
'-x+1/2,-y+1/2,-z'
'-x+1/2,y+1/2,-z'
'x+1/2,-y+1/2,z'
loop_
_atom_site_label
_atom_site_type_symbol
_atom_site_fract_x
_atom_site_fract_y
_atom_site_fract_z
Tm1 Tm 0.012 0.000 0.198
Tm2 Tm 0.181 0.500 0.376
Tm3 Tm 0.191 0.000 0.870
Tl1 Tl 0.092 0.000 0.553
Sb1 Sb 0.105 0.500 0.032
```

Density functional theory data (PBE) for a relaxed AcSmDy2Sb4 crystal.

- Final energy: -5.454 eV per atom
- E_form (uncorrected): -9.11 eV/f.u.
- DOS at the Fermi energy: 0.131 states/eV per atom

Geometry as CIF:
```
data_AcSmDy2Sb4
_chemical_formula_sum 'Ac1 Sm1 Dy2 Sb4'
_cell_length_a 7.813
_cell_length_b 4.518
_cell_length_c 7.823
_cell_angle_alpha 90.00
_cell_angle_beta 109.45
_cell_angle_gamma 90.00
_symmetry_space_group_name_H-M 'P 1 2/m 1'
_symmetry_Int_Tables_number 10
loop_
_symmetry_equiv_pos_as_xyz
'x,y,z'
'-x,-y,-z'
'-x,y,-z'
'x,-y,z'
loop_
_atom_site_label
_atom_site_type_symbol
_atom_site_fract_x
_atom_site_fract_y
_atom_site_fract_z
Ac1 Ac 0.000 0.000 0.000
Sm1 Sm 0.000 0.500 0.500
Dy1 Dy 0.500 0.000 0.500
Dy2 Dy 0.500 0.500 0.000
Sb1 Sb 0.261 0.000 0.746
Sb2 Sb 0.268 0.500 0.264
```

Density functional theory data (PBE) for a relaxed Ba2NaAs crystal.

- Final energy: -3.020 eV per atom
- Energy of formation: -0.5667 eV per atom
- DOS at the Fermi energy: 0.633 states/eV per atom

Geometry as CIF:
```
data_Ba2NaAs
_chemical_formula_sum 'Ba6 Na3 As3'
_cell_length_a 4.6737
_cell_length_b 4.6737
_cell_length_c 35.5348
_cell_angle_alpha 90.00
_cell_angle_beta 90.00
_cell_angle_gamma 120.00
_symmetry_space_group_name_H-M 'R -3 m'
_symmetry_Int_Tables_number 166
_symmetry_space_group_name_Hall '-R 3 2"'
loop_
_atom_site_label
_atom_site_type_symbol
_atom_site_fract_x
_atom_site_fract_y
_atom_site_fract_z
Ba1 Ba 0.0000 0.0000 0.1165
Na1 Na 0.0000 0.0000 0.0000
As1 As 0.0000 0.0000 0.5000
```

Density functional theory data (PBE) for a relaxed TbPr2CuSe5 crystal.

- Final energy: -5.569 eV per atom
- E_form (uncorrected): -14.41 eV/f.u.
- DOS at the Fermi energy: 0.002 states/eV per atom

Geometry as CIF:
```
data_TbPr2CuSe5
_chemical_formula_sum 'Tb4 Pr8 Cu4 Se20'
_cell_length_a 4.100
_cell_length_b 17.818
_cell_length_c 12.218
_cell_angle_alpha 90.00
_cell_angle_beta 90.00
_cell_angle_gamma 90.00
_symmetry_space_group_name_H-M 'C m c 21'
_symmetry_Int_Tables_number 36
loop_
_symmetry_equiv_pos_as_xyz
'x,y,z'
'-x,-y,z+1/2'
'-x,y,z'
'x,-y,z+1/2'
'x+1/2,y+1/2,z'
'-x+1/2,-y+1/2,z+1/2'
'-x+1/2,y+1/2,z'
'x+1/2,-y+1/2,z+1/2'
loop_
_atom_site_label
_atom_site_type_symbol
_atom_site_fract_x
_atom_site_fract_y
_atom_site_fract_z
Tb1 Tb 0.000 0.193 0.000
Pr1 Pr 0.000 0.109 0.676
Pr2 Pr 0.000 0.122 0.300
Cu1 Cu 0.000 0.436 0.444
Se1 Se 0.000 0.043 0.050
Se2 Se 0.000 0.288 0.664
Se3 Se 0.000 0.313 0.336
Se4 Se 0.000 0.357 0.991
Se5 Se 0.000 0.499 0.770
```

Density functional theory data (PBE) for a relaxed Tb2Si2Pd5 crystal.

- Final energy: -6.066 eV per atom
- E_form (uncorrected): -8.52 eV/f.u.
- DOS at the Fermi energy: 0.350 states/eV per atom

Geometry as CIF:
```
data_Tb2Si2Pd5
_chemical_formula_sum 'Tb2 Si2 Pd5'
_cell_length_a 4.178
_cell_length_b 4.178
_cell_length_c 9.002
_cell_angle_alpha 90.00
_cell_angle_beta 90.00
_cell_angle_gamma 90.00
_symmetry_space_group_name_H-M 'P 4/m m m'
_symmetry_Int_Tables_number 123
_symmetry_space_group_name_Hall '-P 4 2'
loop_
_atom_site_label
_atom_site_type_symbol
_atom_site_fract_x
_atom_site_fract_y
_atom_site_fract_z
Tb1 Tb 0.000 0.000 0.000
Tb2 Tb 0.000 0.000 0.500
Si1 Si 0.500 0.500 0.131
Pd1 Pd 0.000 0.500 0.268
Pd2 Pd 0.500 0.500 0.500
```